DFT (PBE) results for a relaxed structure of SrVSb3.

The structure in POSCAR format:
```
SrVSb3
1.0
5.2502 0.0000 0.0000
0.0000 5.2502 0.0000
0.0000 0.0000 5.2502
Sr V Sb
1 1 3
direct
0.0000 0.0000 0.0000
0.5000 0.5000 0.5000
0.0000 0.5000 0.5000
0.5000 0.0000 0.5000
0.5000 0.5000 0.0000
```

Output
Magnetic moment = 0.0 μB/f.u.
Fermi-level density of states = 2.119 states/eV per cell
Uncorrected formation energy = -183 meV/atom
Symmetry = Pm-3m, No. 221
Electronic total energy = -4.82 eV per atom

DFT (PBE) results for a relaxed structure of SrV2Sb2.

The structure in POSCAR format:
```
SrV2Sb2
1.0
-2.0136 2.0136 7.3293
2.0136 -2.0136 7.3293
2.0136 2.0136 -7.3293
Sr V Sb
1 2 2
direct
0.0000 0.0000 0.0000
0.2500 0.7500 0.5000
0.7500 0.2500 0.5000
0.3723 0.3723 0.0000
0.6277 0.6277 0.0000
```

Output
Magnetic moment = 0.0 μB/f.u.
Fermi-level density of states = 3.432 states/eV per cell
Uncorrected formation energy = -293 meV/atom
Symmetry = I4/mmm, No. 139
Electronic total energy = -5.93 eV per atom

DFT (PBE) results for a relaxed structure of Sr2V2Sb.

The structure in POSCAR format:
```
Sr2V2Sb
1.0
-1.7591 1.7591 10.6993
1.7591 -1.7591 10.6993
1.7591 1.7591 -10.6993
Sr V Sb
2 2 1
direct
0.1091 0.1091 0.0000
0.8909 0.8909 0.0000
0.2500 0.7500 0.5000
0.7500 0.2500 0.5000
0.5000 0.5000 0.0000
```

Output
Magnetic moment = 0.0 μB/f.u.
Fermi-level density of states = 5.257 states/eV per cell
Uncorrected formation energy = 214 meV/atom
Symmetry = I4/mmm, No. 139
Electronic total energy = -4.93 eV per atom

DFT (PBE) results for a relaxed structure of SrVSb2.

The structure in POSCAR format:
```
SrVSb2
1.0
1.8264 1.0545 10.2437
-1.8264 1.0545 10.2437
0.0000 -2.1090 10.2437
Sr V Sb
1 1 2
direct
0.0000 0.0000 0.0000
0.5000 0.5000 0.5000
0.1085 0.1085 0.1085
0.8915 0.8915 0.8915
```

Output
Magnetic moment = 1.2 μB/f.u.
Fermi-level density of states = 3.780 states/eV per cell
Uncorrected formation energy = 106 meV/atom
Symmetry = R-3m, No. 166
Electronic total energy = -4.66 eV per atom

Look up the electronic total energy of the second one. -5.93 eV per atom